The following is a DFT calculation (GGA-PBE) of crystalline Mg2CdPF at its relaxed geometry.

abc: 5.3609 4.7113 5.3609
angles: 90.00 90.00 90.00
Element x y z (fractional)
P  0.0000  0.5000  0.0000
Mg  0.0000  0.0000  0.5000
Mg  0.5000  0.0000  0.0000
F  0.5000  0.5000  0.5000
Cd  0.0000  0.0000  0.0000

ΔE_f (raw) (kJ/mol of formula units): 33
E (eV for the cell shown): -11.04
Total moment (μB per atom): 0.00

The following is a DFT calculation (GGA-PBE) of crystalline Na2TlAs at its relaxed geometry.

abc: 4.3281 6.2395 8.8817
angles: 90.00 90.00 89.71
Element x y z (fractional)
Na  0.2483  0.7012  0.0652
Na  0.7517  0.2988  0.9348
Na  0.7517  0.2988  0.5652
Na  0.2483  0.7012  0.4348
Tl  0.2530  0.1824  0.2500
Tl  0.7470  0.8176  0.7500
As  0.7501  0.4857  0.2500
As  0.2499  0.5143  0.7500

ΔE_f (meV/atom): -250.1
E (eV for the cell shown): -21.31
Total moment (μB per atom): 0.00

The following is a DFT calculation (GGA-PBE) of crystalline RbLiH2 at its relaxed geometry.

abc: 4.6401 4.6401 4.6401
angles: 60.00 60.00 60.00
Element x y z (fractional)
H  0.2500  0.2500  0.2500
H  0.7500  0.7500  0.7500
Rb  0.5000  0.5000  0.5000
Li  0.0000  0.0000  0.0000

E (eV for the cell shown): -9.08
Total moment (μB per atom): 0.00

The following is a DFT calculation (GGA-PBE) of crystalline Y5Tm4Sc at its relaxed geometry.

abc: 7.0297 9.2786 4.9447
angles: 105.43 89.92 79.17
Element x y z (fractional)
Y  0.3999  0.5975  0.7988
Y  0.9975  0.1990  0.5995
Y  0.0950  0.8017  0.4009
Y  0.7000  0.3974  0.1987
Y  0.3008  0.0011  0.0006
Tm  0.8967  0.6042  0.8020
Tm  0.5027  0.1959  0.5980
Tm  0.6009  0.8035  0.4016
Tm  0.1984  0.4009  0.2004
Sc  0.7979  0.9989  0.9995

ΔE_f (meV/atom): 36.9
E (eV for the cell shown): -56.17
Total moment (μB per atom): 0.00

The following is a DFT calculation (GGA-PBE) of crystalline CsInSiGe2 at its relaxed geometry.

abc: 5.3688 6.7694 5.3688
angles: 90.00 90.00 90.00
Last column: magnetic moment on the atom in μB.
Element x y z (fractional)
Cs  0.0000  0.5000  0.0000  0.04
Ge  0.0000  0.0000  0.5000  -0.07
Ge  0.5000  0.0000  0.0000  -0.08
Si  0.5000  0.5000  0.5000  0.45
In  0.0000  0.0000  0.0000  0.00

ΔE_f (raw) (kJ/mol of formula units): 514
E (eV for the cell shown): -12.92
Total moment (μB per atom): 0.27

The following is a DFT calculation (GGA-PBE) of crystalline Co2AgRh at its relaxed geometry.

abc: 2.6390 2.6390 8.8888
angles: 90.00 90.00 116.22
Last column: magnetic moment on the atom in μB.
Element x y z (fractional)
Ag  0.5000  0.5000  0.7594  -0.01
Co  0.0000  0.0000  0.0238  1.80
Co  0.5000  0.5000  0.2389  1.95
Rh  0.0000  0.0000  0.4779  0.64

ΔE_f (meV/atom): 303.3
E (eV for the cell shown): -23.20
Total moment (μB per atom): 1.08

The following is a DFT calculation (GGA-PBE) of crystalline Na2GaHg5 at its relaxed geometry.

abc: 6.6896 6.6905 6.4669
angles: 121.04 121.14 90.00
Element x y z (fractional)
Na  0.2223  0.7212  0.4445
Na  0.7223  0.2231  0.4447
Ga  0.2221  0.2218  0.4442
Hg  0.7217  0.2217  0.9434
Hg  0.2216  0.2216  0.9434
Hg  0.7229  0.7229  0.9452
Hg  0.2224  0.7229  0.9452
Hg  0.7217  0.7218  0.4435

ΔE_f (meV/atom): -140.9
E (eV for the cell shown): -8.30
Total moment (μB per atom): 0.00

The following is a DFT calculation (GGA-PBE) of crystalline K2ReBr at its relaxed geometry.

abc: 9.9742 9.9742 9.9742
angles: 159.89 156.07 31.45
Last column: magnetic moment on the atom in μB.
Element x y z (fractional)
Br  0.2030  0.7030  0.5000  0.00
K  0.0629  0.0629  0.0000  0.00
K  0.7923  0.2923  0.5000  0.01
Re  0.4418  0.4418  0.0000  3.02

ΔE_f (raw) (kJ/mol of formula units): 277
E (eV for the cell shown): -13.44
Total moment (μB per atom): 0.93